## FeSiMo2 (GGA-PBE)

Data for FeSiMo2 after structural relaxation.

## Properties
E_form (uncorrected)	-23	meV/atom

a = 3.2537 Å, b = 4.3007 Å, c = 7.9553 Å
α = 90.00°, β = 90.00°, γ = 90.00°
Closest atoms and distances in Å follow each position.
Space group Cmm2 (No. 35)
One atom of each set of equivalent atoms:
Fe 0.0000 0.0000 0.0000 [2 per cell]  2 Si 2.34, 2 Mo 2.60
Si 0.0000 0.5000 0.7894 [2 per cell]  2 Fe 2.34, 2 Mo 2.58
Mo 0.0000 0.0000 0.5374 [2 per cell]  2 Si 2.58, 6 Mo 2.70-2.77
Mo 0.0000 0.5000 0.2549 [2 per cell]  2 Fe 2.60, 6 Mo 2.70-2.77

***

## FeSiMo4 (GGA-PBE)

Data for FeSiMo4 after structural relaxation.

## Properties
E_form (uncorrected)	576	meV/atom

a = 7.2985 Å, b = 7.2985 Å, c = 7.2985 Å
α = 90.00°, β = 90.00°, γ = 90.00°
Closest atoms and distances in Å follow each position.
Space group F-43m (No. 216)
One atom of each set of equivalent atoms:
Fe 0.0000 0.0000 0.0000 [4 per cell]  12 Mo 3.02, 4 Si 3.16
Si 0.2500 0.2500 0.2500 [4 per cell]  12 Mo 3.03, 4 Fe 3.16
Mo 0.1255 0.1255 0.6255 [16 per cell]  6 Mo 2.57-2.59

***

## FeSiMo2 (GGA-PBE)

Data for FeSiMo2 after structural relaxation.

## Properties
E_form (uncorrected)	-65	meV/atom

a = 2.7280 Å, b = 3.9414 Å, c = 5.0707 Å
α = 90.00°, β = 90.00°, γ = 90.00°
Closest atoms and distances in Å follow each position.
Space group Pmmm (No. 47)
One atom of each set of equivalent atoms:
Fe 0.0000 0.0000 0.0000 [1 per cell]  2 Si 2.54, 8 Mo 2.71, 2 Fe 2.73
Si 0.0000 0.0000 0.5000 [1 per cell]  2 Fe 2.54, 8 Mo 2.71, 2 Si 2.73
Mo 0.5000 0.5000 0.2489 [2 per cell]  4 Mo 2.52-2.73, 4 Fe 2.71, 4 Si 2.71

***

## Fe14SiMo (GGA-PBE)

Data for Fe14SiMo after structural relaxation.

## Properties
E_form (uncorrected)	-45	meV/atom

a = 5.7220 Å, b = 8.0478 Å, c = 8.0694 Å
α = 90.00°, β = 90.00°, γ = 90.00°
Closest atoms and distances in Å follow each position.
Space group Cmmm (No. 65)
One atom of each set of equivalent atoms:
Fe 0.0000 0.0000 0.0000 [2 per cell]  8 Fe 2.44-2.47
Fe 0.0000 0.2490 0.2487 [8 per cell]  8 Fe 2.45-2.49
Fe 0.0000 0.5000 0.0000 [2 per cell]  8 Fe 2.46-2.47
Fe 0.2466 0.0000 0.2468 [8 per cell]  6 Fe 2.44-2.49, 1 Si 2.48, 1 Mo 2.50
Fe 0.2500 0.2500 0.0000 [4 per cell]  8 Fe 2.46-2.47
Fe 0.2500 0.2500 0.5000 [4 per cell]  2 Mo 2.47, 2 Si 2.47, 4 Fe 2.48
Si 0.0000 0.0000 0.5000 [2 per cell]  8 Fe 2.47-2.48
Mo 0.0000 0.5000 0.5000 [2 per cell]  8 Fe 2.47-2.50

***

## Fe3SiMo (GGA-PBE)

Data for Fe3SiMo after structural relaxation.

## Properties
E_form (uncorrected)	429	meV/atom

a = 6.1873 Å, b = 10.5141 Å, c = 4.4343 Å
α = 90.00°, β = 90.00°, γ = 90.00°
Closest atoms and distances in Å follow each position.
Space group Cmcm (No. 63)
One atom of each set of equivalent atoms:
Fe 0.0000 0.0000 0.0000 [4 per cell]  2 Fe 2.22, 2 Si 2.34
Fe 0.1854 0.1921 0.2500 [8 per cell]  3 Si 2.28-2.50, 1 Fe 2.29, 1 Mo 2.43
Si 0.0000 0.1955 0.7500 [4 per cell]  8 Fe 2.28-2.50
Mo 0.0000 0.4460 0.7500 [4 per cell]  2 Fe 2.43, 2 Mo 2.49, 1 Si 2.63

***

## FeSiMo2 (GGA-PBE)

Data for FeSiMo2 after structural relaxation.

## Properties
E_form (uncorrected)	-104	meV/atom

a = 2.8893 Å, b = 3.9362 Å, c = 5.0182 Å
α = 90.00°, β = 106.66°, γ = 90.00°
Closest atoms and distances in Å follow each position.
Space group Pm (No. 6)
One atom of each set of equivalent atoms:
Fe 0.0000 0.0000 0.0000 [1 per cell]  2 Si 2.39, 5 Mo 2.53-2.60
Si 0.8617 0.5000 0.7190 [1 per cell]  2 Fe 2.39, 7 Mo 2.56-2.67
Mo 0.2651 0.0000 0.5259 [1 per cell]  3 Fe 2.53-2.70, 4 Si 2.61
Mo 0.5949 0.5000 0.1863 [1 per cell]  3 Si 2.56-2.67, 4 Fe 2.60

***

## FeSiMo2 (GGA-PBE)

Data for FeSiMo2 after structural relaxation.

## Properties
E_form (uncorrected)	37	meV/atom

a = 3.2964 Å, b = 4.2925 Å, c = 7.9663 Å
α = 90.00°, β = 90.00°, γ = 90.00°
Closest atoms and distances in Å follow each position.
Space group Cmmm (No. 65)
One atom of each set of equivalent atoms:
Fe 0.0000 0.0000 0.0000 [2 per cell]  4 Mo 2.60, 4 Fe 2.71
Si 0.0000 0.0000 0.5000 [2 per cell]  4 Mo 2.57, 4 Si 2.71
Mo 0.0000 0.5000 0.2528 [4 per cell]  2 Si 2.57, 2 Fe 2.60, 4 Mo 2.71

***

## FeSiMo2 (GGA-PBE)

Data for FeSiMo2 after structural relaxation.

## Properties
E_form (uncorrected)	114	meV/atom

a = 2.7519 Å, b = 2.7519 Å, c = 25.5890 Å
α = 90.00°, β = 90.00°, γ = 120.00°
Closest atoms and distances in Å follow each position.
Space group R3m (No. 160, hexagonal axes)
One atom of each set of equivalent atoms:
Fe 0.0000 0.0000 0.0000 [3 per cell]  3 Si 2.40, 3 Mo 2.62
Si 0.0000 0.0000 0.2630 [3 per cell]  3 Fe 2.40
Mo 0.0000 0.0000 0.5105 [3 per cell]  3 Si 2.71, 9 Mo 2.75-2.92
Mo 0.0000 0.0000 0.7482 [3 per cell]  3 Fe 2.62, 9 Mo 2.75-2.92

***

Question: What is the E_form (uncorrected) in the eighth record?
Answer: 114 meV/atom

***

Question: Look up the E_form (uncorrected) of the fourth one.
Answer: -45 meV/atom

***

Please write out number 2 again, unchanged.
## FeSiMo4 (GGA-PBE)

Data for FeSiMo4 after structural relaxation.

## Properties
E_form (uncorrected)	576	meV/atom

a = 7.2985 Å, b = 7.2985 Å, c = 7.2985 Å
α = 90.00°, β = 90.00°, γ = 90.00°
Closest atoms and distances in Å follow each position.
Space group F-43m (No. 216)
One atom of each set of equivalent atoms:
Fe 0.0000 0.0000 0.0000 [4 per cell]  12 Mo 3.02, 4 Si 3.16
Si 0.2500 0.2500 0.2500 [4 per cell]  12 Mo 3.03, 4 Fe 3.16
Mo 0.1255 0.1255 0.6255 [16 per cell]  6 Mo 2.57-2.59

***

What did the sixth record say?
## FeSiMo2 (GGA-PBE)

Data for FeSiMo2 after structural relaxation.

## Properties
E_form (uncorrected)	-104	meV/atom

a = 2.8893 Å, b = 3.9362 Å, c = 5.0182 Å
α = 90.00°, β = 106.66°, γ = 90.00°
Closest atoms and distances in Å follow each position.
Space group Pm (No. 6)
One atom of each set of equivalent atoms:
Fe 0.0000 0.0000 0.0000 [1 per cell]  2 Si 2.39, 5 Mo 2.53-2.60
Si 0.8617 0.5000 0.7190 [1 per cell]  2 Fe 2.39, 7 Mo 2.56-2.67
Mo 0.2651 0.0000 0.5259 [1 per cell]  3 Fe 2.53-2.70, 4 Si 2.61
Mo 0.5949 0.5000 0.1863 [1 per cell]  3 Si 2.56-2.67, 4 Fe 2.60